Entry 1:
The following is a DFT calculation (PBE) of an optimized crystal structure of LiMgZnPb.

Output
Offset from the most stable computed form, meV per atom: 0

a = 9.6237 Å, b = 4.3764 Å, c = 4.3771 Å
α = 90.00°, β = 116.85°, γ = 90.00°
Space group Cm (No. 8)
Symmetry-distinct sites (fractional):
Li 0.0000 0.0000 0.0000 x2
Mg 0.0000 0.5000 0.5001 x2
Zn 0.2500 0.5000 0.2500 x2
Pb 0.2500 0.0000 0.7501 x2

=====

Entry 2:
The following is a DFT calculation (PBE) of an optimized crystal structure of BeNi2H.

Output
Offset from the most stable computed form, meV per atom: 305

a = 2.4899 Å, b = 2.4899 Å, c = 19.1296 Å
α = 90.00°, β = 90.00°, γ = 120.00°
Space group R-3m (No. 166, hexagonal axes)
Symmetry-distinct sites (fractional):
Be 0.0000 0.0000 0.0000 x3
Ni 0.0000 0.0000 0.1074 x6
H 0.0000 0.0000 0.5000 x3

=====

Entry 3:
The following is a DFT calculation (PBE) of an optimized crystal structure of CeCo4Ge4.

Output
Final energy, eV per atom: -6.19

a = 5.8067 Å, b = 5.8067 Å, c = 7.9977 Å
α = 90.00°, β = 90.00°, γ = 90.00°
Space group P4_2/nmc (No. 137, origin choice 2)
Symmetry-distinct sites (fractional):
Ce 0.2500 0.7500 0.2500 x2
Co 0.0277 0.2500 0.1330 x8
Ge 0.0350 0.2500 0.4265 x8

=====

Entry 4:
The following is a DFT calculation (PBE) of an optimized crystal structure of MnMoPt3.

Output
Offset from the most stable computed form, meV per atom: 968

a = 4.8188 Å, b = 4.8188 Å, c = 4.8188 Å
α = 90.00°, β = 90.00°, γ = 90.00°
Space group Pm-3m (No. 221)
Symmetry-distinct sites (fractional):
Mn 0.0000 0.0000 0.0000 x1
Mo 0.5000 0.5000 0.5000 x1
Pt 0.0000 0.5000 0.5000 x3